(1)
Compound: CsRb2Bi2Pb
Source: Alexandria
Functional: PBE
Structure: optimized geometry

It has space group Ibam (No. 72), with a = 9.5726 Å, b = 16.4489 Å, c = 7.9052 Å, α = 90.00°, β = 90.00° and γ = 90.00°. The inequivalent atoms are Cs at (0.0000, 0.0000, 0.2500), Rb at (0.1760, 0.3210, 0.0000), Bi at (0.1935, 0.3959, 0.5000) and Pb at (0.0000, 0.5000, 0.2500).

The calculated total energy is -63.9 eV per cell.



(2)
Compound: PaCdHg2O6
Source: Alexandria
Functional: PBE
Structure: optimized geometry

It has space group C2/c (No. 15), with a = 12.0672 Å, b = 8.9148 Å, c = 5.7244 Å, α = 90.00°, β = 96.27° and γ = 90.00°. The inequivalent atoms are Pa at (0.0000, 0.1411, 0.2500), Cd at (0.0000, 0.4057, 0.7500), Hg at (0.2457, 0.1498, 0.7544), O at (0.0904, 0.3821, 0.1091), O at (0.1006, 0.0613, 0.0032) and O at (0.1132, 0.2481, 0.5452).

The calculated total energy is -219.5 eV per cell.



(3)
Compound: CaInCl4
Source: Alexandria
Functional: PBE
Structure: optimized geometry

It has space group F-43m (No. 216), with a = 8.6042 Å, b = 8.6042 Å, c = 8.6042 Å, α = 90.00°, β = 90.00° and γ = 90.00°. The inequivalent atoms are Ca at (0.0000, 0.0000, 0.0000), In at (0.2500, 0.2500, 0.2500) and Cl at (0.1254, 0.1254, 0.6254).

The relative energy among the computed polymorphs comes out at 102.2 kJ/mol of atoms.



(4)
Compound: CsPuTeO5
Source: Alexandria
Functional: PBE
Structure: optimized geometry

It has space group C2/c (No. 15), with a = 7.1665 Å, b = 11.2967 Å, c = 8.2237 Å, α = 90.00°, β = 95.05° and γ = 90.00°. The inequivalent atoms are Cs at (0.0000, 0.1564, 0.2500), Pu at (0.0000, 0.5000, 0.0000), Te at (0.0000, 0.1940, 0.7500), O at (0.0000, 0.4507, 0.2500), O at (0.0458, 0.2993, 0.5806) and O at (0.2425, 0.0223, 0.9899).

The calculated total energy is -231.9 eV per cell.



(5)
Compound: HgWAu2
Source: Alexandria
Functional: PBE
Structure: optimized geometry

It has space group I4/mmm (No. 139), with a = 4.3066 Å, b = 4.3066 Å, c = 7.8599 Å, α = 90.00°, β = 90.00° and γ = 90.00°. The inequivalent atoms are Hg at (0.0000, 0.0000, 0.0000), W at (0.0000, 0.0000, 0.5000) and Au at (0.0000, 0.5000, 0.2500).

The calculated total energy is -34.1 eV per cell.



(6)
Compound: Dy3PtSe2
Source: Alexandria
Functional: PBE
Structure: optimized geometry

It has space group Fddd (No. 70, origin choice 2), with a = 8.4040 Å, b = 11.6394 Å, c = 24.2638 Å, α = 90.00°, β = 90.00° and γ = 90.00°. The inequivalent atoms are Dy at (0.1108, 0.3750, 0.3750), Dy at (0.1182, 0.3662, 0.2117), Pt at (0.1250, 0.1250, 0.0415), Se at (0.1250, 0.1250, 0.3775) and Se at (0.1250, 0.1250, 0.5447).

The relative energy among the computed polymorphs comes out at 0.0 kJ/mol of atoms.



(7)
Compound: Tb2BeGa3Pt6
Source: Alexandria
Functional: PBE
Structure: optimized geometry

It has space group C2/m (No. 12), with a = 16.4020 Å, b = 6.7848 Å, c = 3.8045 Å, α = 90.00°, β = 90.45° and γ = 90.00°. The inequivalent atoms are Tb at (0.1413, 0.0000, 0.4981), Be at (0.0000, 0.5000, 0.5000), Ga at (0.0000, 0.0000, 0.0000), Ga at (0.2500, 0.2500, 0.0000), Pt at (0.0851, 0.3022, 0.9916) and Pt at (0.1900, 0.5000, 0.4969).

The calculated total energy is -133.2 eV per cell.



(8)
Compound: Li2MgCuCl6
Source: Alexandria
Functional: PBE
Structure: optimized geometry

It has space group C2/c (No. 15), with a = 12.6581 Å, b = 11.2424 Å, c = 6.3448 Å, α = 90.00°, β = 101.54° and γ = 90.00°. The inequivalent atoms are Li at (0.1878, 0.0858, 0.2998), Mg at (0.0000, 0.4124, 0.2500), Cu at (0.0000, 0.1981, 0.7500), Cl at (0.0984, 0.2455, 0.0829), Cl at (0.1162, 0.4302, 0.6117) and Cl at (0.1421, 0.1034, 0.6413).

The calculated total energy is -137.5 eV per cell.



(9)
Compound: Li3GaNi2
Source: Alexandria
Functional: PBE
Structure: optimized geometry

It has space group C2/c (No. 15), with a = 6.2131 Å, b = 7.0269 Å, c = 6.7803 Å, α = 90.00°, β = 100.54° and γ = 90.00°. The inequivalent atoms are Li at (0.0000, 0.0409, 0.2500), Li at (0.2422, 0.0900, 0.0127), Ga at (0.0000, 0.3928, 0.2500) and Ni at (0.1305, 0.2774, 0.6236).

The relative energy among the computed polymorphs comes out at 0.0 kJ/mol of atoms.



(10)
Compound: TcAgSn6
Source: Alexandria
Functional: PBE
Structure: optimized geometry

It has space group C2/m (No. 12), with a = 7.7314 Å, b = 9.0602 Å, c = 6.1158 Å, α = 90.00°, β = 101.25° and γ = 90.00°. The inequivalent atoms are Tc at (0.0000, 0.0000, 0.0000), Ag at (0.0000, 0.5000, 0.5000), Sn at (0.0979, 0.2063, 0.3085) and Sn at (0.1888, 0.5000, 0.1191).

The calculated total energy is -71.5 eV per cell.



(11)
Compound: Pr7Sm4Tm
Source: Alexandria
Functional: PBE
Structure: optimized geometry

It has space group C2/m (No. 12), with a = 16.4549 Å, b = 6.1014 Å, c = 9.4641 Å, α = 90.00°, β = 115.93° and γ = 90.00°. The inequivalent atoms are Pr at (0.0000, 0.0000, 0.0000), Pr at (0.0818, 0.5000, 0.4371), Pr at (0.2064, 0.5000, 0.8754), Pr at (0.2079, 0.5000, 0.2245), Sm at (0.0726, 0.0000, 0.6983), Sm at (0.1732, 0.0000, 0.3890) and Tm at (0.0000, 0.5000, 0.0000).

The relative energy among the computed polymorphs comes out at 19.2 kJ/mol of atoms.



(12)
Compound: LaTlCr
Source: Alexandria
Functional: PBE
Structure: optimized geometry

It has space group I4mm (No. 107), with a = 3.6288 Å, b = 3.6288 Å, c = 11.8765 Å, α = 90.00°, β = 90.00° and γ = 90.00°. The inequivalent atoms are La at (0.0000, 0.0000, 0.0000), Tl at (0.0000, 0.0000, 0.7007) and Cr at (0.0000, 0.0000, 0.3246).

The calculated total energy is -32.5 eV per cell.



(13)
Compound: Nd2ErPb9
Source: Alexandria
Functional: PBE
Structure: optimized geometry

It has space group P4/mmm (No. 123), with a = 4.9141 Å, b = 4.9141 Å, c = 14.7088 Å, α = 90.00°, β = 90.00° and γ = 90.00°. The inequivalent atoms are Nd at (0.0000, 0.0000, 0.1679), Er at (0.0000, 0.0000, 0.5000), Pb at (0.0000, 0.5000, 0.0000), Pb at (0.0000, 0.5000, 0.3377), Pb at (0.5000, 0.5000, 0.1689) and Pb at (0.5000, 0.5000, 0.5000).

The calculated total energy is -51.4 eV per cell.



(14)
Compound: AcIn2Pd
Source: Alexandria
Functional: PBE
Structure: optimized geometry

It has space group P4/mmm (No. 123), with a = 4.4777 Å, b = 4.4777 Å, c = 5.3226 Å, α = 90.00°, β = 90.00° and γ = 90.00°. The inequivalent atoms are Ac at (0.0000, 0.0000, 0.0000), In at (0.0000, 0.5000, 0.5000) and Pd at (0.5000, 0.5000, 0.0000).

The relative energy among the computed polymorphs comes out at 21.1 kJ/mol of atoms.



(15)
Compound: Nd6Dy2Tm3Sc
Source: Alexandria
Functional: PBE
Structure: optimized geometry

It has space group C2/m (No. 12), with a = 6.2163 Å, b = 10.7654 Å, c = 11.7028 Å, α = 90.00°, β = 100.19° and γ = 90.00°. The inequivalent atoms are Nd at (0.2482, 0.0000, 0.2509), Nd at (0.2478, 0.1653, 0.7489), Dy at (0.0000, 0.3333, 0.5000), Tm at (0.0000, 0.1666, 0.0000), Tm at (0.0000, 0.5000, 0.0000) and Sc at (0.0000, 0.0000, 0.5000).

The calculated total energy is -114.5 eV per cell.



(16)
Compound: AcLaSi2Pt5
Source: Alexandria
Functional: PBE
Structure: optimized geometry

It has space group P4/mmm (No. 123), with a = 4.4134 Å, b = 4.4134 Å, c = 8.9868 Å, α = 90.00°, β = 90.00° and γ = 90.00°. The inequivalent atoms are Ac at (0.0000, 0.0000, 0.0000), La at (0.0000, 0.0000, 0.5000), Si at (0.5000, 0.5000, 0.3601), Pt at (0.0000, 0.5000, 0.2442) and Pt at (0.5000, 0.5000, 0.0000).

The calculated total energy is -59.1 eV per cell.



(17)
Compound: LaAlH6
Source: Alexandria
Functional: PBE
Structure: optimized geometry

It has space group R-3m (No. 166, hexagonal axes), with a = 6.4679 Å, b = 6.4679 Å, c = 6.2655 Å, α = 90.00°, β = 90.00° and γ = 120.00°. The inequivalent atoms are La at (0.0000, 0.0000, 0.0000), Al at (0.0000, 0.0000, 0.5000) and H at (0.0963, 0.5482, 0.3433).

The calculated total energy is -95.0 eV per cell.



(18)
Compound: Rb2ErBO4
Source: Alexandria
Functional: PBE
Structure: optimized geometry

It has space group Fddd (No. 70, origin choice 2), with a = 5.0405 Å, b = 11.7235 Å, c = 23.0841 Å, α = 90.00°, β = 90.00° and γ = 90.00°. The inequivalent atoms are Rb at (0.1250, 0.1250, 0.3041), Er at (0.1250, 0.1250, 0.1250), B at (0.1250, 0.1250, 0.6250) and O at (0.0462, 0.2968, 0.8369).

The calculated total energy is -398.6 eV per cell.



(19)
Compound: NaAcEuRh
Source: Alexandria
Functional: PBE
Structure: optimized geometry

It has space group F-43m (No. 216), with a = 7.6309 Å, b = 7.6309 Å, c = 7.6309 Å, α = 90.00°, β = 90.00° and γ = 90.00°. The inequivalent atoms are Na at (0.0000, 0.0000, 0.0000), Ac at (0.2500, 0.2500, 0.2500), Eu at (0.2500, 0.2500, 0.7500) and Rh at (0.0000, 0.0000, 0.5000).

The calculated total energy is -93.9 eV per cell.



(20)
Compound: TlWS3
Source: Alexandria
Functional: PBE
Structure: optimized geometry

It has space group Pm-3m (No. 221), with a = 5.0059 Å, b = 5.0059 Å, c = 5.0059 Å, α = 90.00°, β = 90.00° and γ = 90.00°. The inequivalent atoms are Tl at (0.0000, 0.0000, 0.0000), W at (0.5000, 0.5000, 0.5000) and S at (0.0000, 0.0000, 0.5000).

The relative energy among the computed polymorphs comes out at 210.5 kJ/mol of atoms.



(21)
Compound: Ho8TmSc5
Source: Alexandria
Functional: PBE
Structure: optimized geometry

It has space group I-4 (No. 82), with a = 9.2313 Å, b = 9.2313 Å, c = 9.7604 Å, α = 90.00°, β = 90.00° and γ = 90.00°. The inequivalent atoms are Ho at (0.0695, 0.1745, 0.1567), Ho at (0.0930, 0.3296, 0.4988), Tm at (0.0000, 0.0000, 0.5000), Sc at (0.0000, 0.5000, 0.2500) and Sc at (0.1093, 0.2964, 0.8224).

The calculated total energy is -138.1 eV per cell.



Density of states at the Fermi level? In order: 3.61, 6.25, 4.38, 3.69, 2.65, 3.08, 5.62, 0.20, 2.51, 4.93, 19.35, 2.14, 5.95, 2.30, 12.85, 3.36, 0.00, 0.00, 2.11, 4.90, 22.56 states/eV/f.u..
M_tot? In order: 0.0, 0.0, 1.0, 3.0, 1.1, 0.0, 0.0, 1.0, 0.0, 0.0, 0.4, 3.9, 0.0, 0.0, 0.0, 0.0, 0.0, 0.0, 7.2, 2.9, 0.0 μB/f.u..